[1]
Entry from Alexandria via LeMat-Bulk: an optimized crystal structure of TcIr5 (PBE-GGA).

Results
The magnetization is 0.00 μB/cell. As for the polymorph energy (0 for the lowest one): 0.036 eV/atom. For the energy, the calculation gives -0.3376 Ha/atom.

abc: 4.770 4.770 4.421
angles: 90.00 90.00 120.00
Sites, in units of the cell vectors:
Tc (0.000, 0.000, 0.000)
Ir (0.000, 0.668, 0.500)
Ir (0.332, 0.332, 0.500)
Ir (0.333, 0.667, 0.000)
Ir (0.667, 0.333, 0.000)
Ir (0.668, 0.000, 0.500)



[2]
Entry from Alexandria via LeMat-Bulk: an optimized crystal structure of Tc3Ir (PBE-GGA).

Results
The magnetization is 0.00 μB/cell. As for the polymorph energy (0 for the lowest one): 0.163 eV/atom. For the energy, the calculation gives -0.3691 Ha/atom.

abc: 9.108 2.725 4.757
angles: 90.00 99.84 90.00
Sites, in units of the cell vectors:
Tc (0.000, 0.000, 0.000)
Tc (0.249, 0.000, 0.752)
Tc (0.251, 0.500, 0.248)
Tc (0.500, 0.500, 0.000)
Tc (0.749, 0.500, 0.752)
Tc (0.751, 0.000, 0.248)
Ir (0.000, 0.500, 0.500)
Ir (0.500, 0.000, 0.500)



[3]
Entry from Alexandria via LeMat-Bulk: an optimized crystal structure of Tc2Ir3 (PBE-GGA).

Results
The magnetization is 0.00 μB/cell. As for the polymorph energy (0 for the lowest one): 0.182 eV/atom. For the energy, the calculation gives -0.3416 Ha/atom.

abc: 9.198 4.161 8.233
angles: 90.00 90.00 90.00
Sites, in units of the cell vectors:
Tc (0.048, 0.250, 0.154)
Tc (0.195, 0.250, 0.440)
Tc (0.305, 0.750, 0.940)
Tc (0.452, 0.750, 0.654)
Tc (0.548, 0.250, 0.346)
Tc (0.695, 0.250, 0.060)
Tc (0.805, 0.750, 0.560)
Tc (0.952, 0.750, 0.846)
Ir (0.034, 0.750, 0.354)
Ir (0.161, 0.250, 0.865)
Ir (0.173, 0.750, 0.642)
Ir (0.327, 0.250, 0.142)
Ir (0.339, 0.750, 0.365)
Ir (0.466, 0.250, 0.854)
Ir (0.534, 0.750, 0.146)
Ir (0.661, 0.250, 0.635)
Ir (0.673, 0.750, 0.858)
Ir (0.827, 0.250, 0.358)
Ir (0.839, 0.750, 0.135)
Ir (0.966, 0.250, 0.646)



[4]
Entry from Alexandria via LeMat-Bulk: an optimized crystal structure of TcIr5 (PBE-GGA).

Results
The magnetization is 0.00 μB/cell. As for the polymorph energy (0 for the lowest one): 0.039 eV/atom. For the energy, the calculation gives -0.3375 Ha/atom.

abc: 4.414 2.755 14.327
angles: 90.00 90.00 90.00
Sites, in units of the cell vectors:
Tc (0.000, 0.000, 0.000)
Tc (0.000, 0.500, 0.500)
Ir (0.000, 0.000, 0.335)
Ir (0.000, 0.000, 0.663)
Ir (0.000, 0.500, 0.163)
Ir (0.000, 0.500, 0.835)
Ir (0.500, 0.000, 0.111)
Ir (0.500, 0.000, 0.444)
Ir (0.500, 0.000, 0.777)
Ir (0.500, 0.500, 0.277)
Ir (0.500, 0.500, 0.611)
Ir (0.500, 0.500, 0.944)



[5]
Entry from Alexandria via LeMat-Bulk: an optimized crystal structure of Tc8Ir (PBE-GGA).

Results
The magnetization is 0.00 μB/cell. For the energy, the calculation gives -0.3744 Ha/atom.

abc: 6.141 6.141 6.141
angles: 95.68 95.68 143.33
Sites, in units of the cell vectors:
Tc (0.000, 0.332, 0.332)
Tc (0.000, 0.668, 0.668)
Tc (0.332, 0.000, 0.332)
Tc (0.334, 0.334, 0.668)
Tc (0.334, 0.666, 0.000)
Tc (0.666, 0.334, 0.000)
Tc (0.666, 0.666, 0.332)
Tc (0.668, 0.000, 0.668)
Ir (0.000, 0.000, 0.000)



[6]
Entry from Alexandria via LeMat-Bulk: an optimized crystal structure of TcIr2 (PBE-GGA).

Results
The magnetization is 0.00 μB/cell. As for the polymorph energy (0 for the lowest one): 0.380 eV/atom. For the energy, the calculation gives -0.3384 Ha/atom.

abc: 2.701 4.090 17.470
angles: 90.00 90.00 90.00
Sites, in units of the cell vectors:
Tc (0.000, 0.250, 0.104)
Tc (0.000, 0.750, 0.896)
Tc (0.500, 0.250, 0.396)
Tc (0.500, 0.750, 0.604)
Ir (0.000, 0.250, 0.542)
Ir (0.000, 0.250, 0.689)
Ir (0.000, 0.750, 0.311)
Ir (0.000, 0.750, 0.458)
Ir (0.500, 0.250, 0.811)
Ir (0.500, 0.250, 0.958)
Ir (0.500, 0.750, 0.042)
Ir (0.500, 0.750, 0.189)



[7]
Entry from Alexandria via LeMat-Bulk: an optimized crystal structure of TcIr5 (PBE-GGA).

Results
The magnetization is 0.00 μB/cell. As for the polymorph energy (0 for the lowest one): 0.028 eV/atom. For the energy, the calculation gives -0.3379 Ha/atom.

abc: 5.199 5.199 5.199
angles: 54.67 54.67 54.67
Sites, in units of the cell vectors:
Tc (0.000, 0.000, 0.000)
Ir (0.167, 0.833, 0.500)
Ir (0.333, 0.333, 0.333)
Ir (0.500, 0.167, 0.833)
Ir (0.667, 0.667, 0.667)
Ir (0.833, 0.500, 0.167)



[8]
Entry from Alexandria via LeMat-Bulk: an optimized crystal structure of Tc3Ir (PBE-GGA).

Results
The magnetization is 0.00 μB/cell. As for the polymorph energy (0 for the lowest one): 0.043 eV/atom. For the energy, the calculation gives -0.3735 Ha/atom.

abc: 2.759 4.387 4.780
angles: 90.00 90.00 90.00
Sites, in units of the cell vectors:
Tc (0.000, 0.000, 0.000)
Tc (0.000, 0.500, 0.331)
Tc (0.500, 0.500, 0.833)
Ir (0.500, 0.000, 0.495)



[9]
Entry from Alexandria via LeMat-Bulk: an optimized crystal structure of Tc3Ir2 (PBE-GGA).

Results
The magnetization is 0.00 μB/cell. As for the polymorph energy (0 for the lowest one): 0.000 eV/atom. For the energy, the calculation gives -0.3601 Ha/atom.

abc: 7.049 5.241 8.115
angles: 59.14 39.67 81.19
Sites, in units of the cell vectors:
Tc (0.000, 0.000, 0.000)
Tc (0.250, 0.250, 0.250)
Tc (0.393, 0.688, 0.403)
Tc (0.688, 0.393, 0.516)
Tc (0.734, 0.847, 0.562)
Tc (0.847, 0.734, 0.857)
Ir (0.136, 0.478, 0.955)
Ir (0.295, 0.819, 0.114)
Ir (0.478, 0.136, 0.431)
Ir (0.819, 0.295, 0.772)



[10]
Entry from Alexandria via LeMat-Bulk: an optimized crystal structure of Tc3Ir (PBE-GGA).

Results
The magnetization is 0.00 μB/cell. As for the polymorph energy (0 for the lowest one): 0.126 eV/atom. For the energy, the calculation gives -0.3705 Ha/atom.

abc: 3.869 3.869 7.765
angles: 90.00 90.00 90.00
Sites, in units of the cell vectors:
Tc (0.000, 0.000, 0.000)
Tc (0.000, 0.500, 0.250)
Tc (0.000, 0.500, 0.750)
Tc (0.500, 0.000, 0.250)
Tc (0.500, 0.000, 0.750)
Tc (0.500, 0.500, 0.500)
Ir (0.000, 0.000, 0.500)
Ir (0.500, 0.500, 0.000)